1.
# ZnRu2O | Alexandria | PBE | optimized geometry
# - volume (Å³ per atom) = 12.50
# - space-group type = Fm-3m (225)
# - energy above the most stable polymorph in this dataset (kJ/mol of formula units) = 188.4
# - E_form (uncorrected) (meV per atom) = 672
data_ZnRu2O
_cell_length_a 5.8479
_cell_length_b 5.8479
_cell_length_c 5.8479
_cell_angle_alpha 90.00
_cell_angle_beta 90.00
_cell_angle_gamma 90.00
_space_group_name_H-M_alt 'P 1'
_space_group_IT_number 1
_space_group_name_Hall 'P 1'
loop_
_atom_site_label
_atom_site_fract_x
_atom_site_fract_y
_atom_site_fract_z
_atom_site_occupancy
Zn1 0.0000 0.0000 0.0000 1
Zn2 0.0000 0.5000 0.5000 1
Zn3 0.5000 0.0000 0.5000 1
Zn4 0.5000 0.5000 0.0000 1
Ru1 0.2500 0.2500 0.2500 1
Ru2 0.2500 0.2500 0.7500 1
Ru3 0.2500 0.7500 0.2500 1
Ru4 0.2500 0.7500 0.7500 1
Ru5 0.7500 0.2500 0.2500 1
Ru6 0.7500 0.2500 0.7500 1
Ru7 0.7500 0.7500 0.2500 1
Ru8 0.7500 0.7500 0.7500 1
O1 0.0000 0.0000 0.5000 1
O2 0.0000 0.5000 0.0000 1
O3 0.5000 0.0000 0.0000 1
O4 0.5000 0.5000 0.5000 1

2.
# ZnRu3O | Alexandria | PBE | optimized geometry
# - volume (Å³ per atom) = 13.26
# - space-group type = Pm-3m (221)
# - energy above the most stable polymorph in this dataset (kJ/mol of formula units) = 0.0
# - E_form (uncorrected) (meV per atom) = 216
data_ZnRu3O
_cell_length_a 4.0474
_cell_length_b 4.0474
_cell_length_c 4.0474
_cell_angle_alpha 90.00
_cell_angle_beta 90.00
_cell_angle_gamma 90.00
_space_group_name_H-M_alt 'P 1'
_space_group_IT_number 1
_space_group_name_Hall 'P 1'
loop_
_atom_site_label
_atom_site_fract_x
_atom_site_fract_y
_atom_site_fract_z
_atom_site_occupancy
Zn1 0.0000 0.0000 0.0000 1
Ru1 0.0000 0.5000 0.5000 1
Ru2 0.5000 0.0000 0.5000 1
Ru3 0.5000 0.5000 0.0000 1
O1 0.5000 0.5000 0.5000 1

3.
# ZnRu3O | Alexandria | PBE | optimized geometry
# - volume (Å³ per atom) = 19.69
# - space-group type = Pm-3m (221)
# - energy above the most stable polymorph in this dataset (kJ/mol of formula units) = 941.0
# - E_form (uncorrected) (meV per atom) = 2166
data_ZnRu3O
_cell_length_a 4.6173
_cell_length_b 4.6173
_cell_length_c 4.6173
_cell_angle_alpha 90.00
_cell_angle_beta 90.00
_cell_angle_gamma 90.00
_space_group_name_H-M_alt 'P 1'
_space_group_IT_number 1
_space_group_name_Hall 'P 1'
loop_
_atom_site_label
_atom_site_fract_x
_atom_site_fract_y
_atom_site_fract_z
_atom_site_occupancy
Zn1 0.0000 0.0000 0.0000 1
Ru1 0.0000 0.0000 0.5000 1
Ru2 0.0000 0.5000 0.0000 1
Ru3 0.5000 0.0000 0.0000 1
O1 0.5000 0.5000 0.5000 1

4.
# Zn2RuO | Alexandria | PBE | optimized geometry
# - volume (Å³ per atom) = 12.77
# - space-group type = I-42d (122)
# - E_form (uncorrected) (meV per atom) = -65
data_Zn2RuO
_cell_length_a 6.5689
_cell_length_b 6.5689
_cell_length_c 4.7361
_cell_angle_alpha 90.00
_cell_angle_beta 90.00
_cell_angle_gamma 90.00
_space_group_name_H-M_alt 'P 1'
_space_group_IT_number 1
_space_group_name_Hall 'P 1'
loop_
_atom_site_label
_atom_site_fract_x
_atom_site_fract_y
_atom_site_fract_z
_atom_site_occupancy
Zn1 0.1835 0.2500 0.1250 1
Zn2 0.2500 0.6835 0.3750 1
Zn3 0.2500 0.8165 0.8750 1
Zn4 0.3165 0.2500 0.6250 1
Zn5 0.6835 0.7500 0.6250 1
Zn6 0.7500 0.1835 0.8750 1
Zn7 0.7500 0.3165 0.3750 1
Zn8 0.8165 0.7500 0.1250 1
Ru1 0.0000 0.0000 0.5000 1
Ru2 0.0000 0.5000 0.7500 1
Ru3 0.5000 0.0000 0.2500 1
Ru4 0.5000 0.5000 0.0000 1
O1 0.0000 0.0000 0.0000 1
O2 0.0000 0.5000 0.2500 1
O3 0.5000 0.0000 0.7500 1
O4 0.5000 0.5000 0.5000 1

5.
# ZnRu2O6 | Alexandria | PBE | optimized geometry
# - volume (Å³ per atom) = 10.56
# - space-group type = P321 (150)
# - E_form (uncorrected) (meV per atom) = -936
data_ZnRu2O6
_cell_length_a 8.6981
_cell_length_b 8.6981
_cell_length_c 4.3530
_cell_angle_alpha 90.00
_cell_angle_beta 90.00
_cell_angle_gamma 120.00
_space_group_name_H-M_alt 'P 1'
_space_group_IT_number 1
_space_group_name_Hall 'P 1'
loop_
_atom_site_label
_atom_site_fract_x
_atom_site_fract_y
_atom_site_fract_z
_atom_site_occupancy
Zn1 0.0000 0.0000 0.0000 1
Zn2 0.3333 0.6667 0.4988 1
Zn3 0.6667 0.3333 0.5012 1
Ru1 0.0000 0.3218 0.5000 1
Ru2 0.0000 0.6555 0.0000 1
Ru3 0.3218 0.0000 0.5000 1
Ru4 0.3445 0.3445 0.0000 1
Ru5 0.6555 0.0000 0.0000 1
Ru6 0.6782 0.6782 0.5000 1
O1 0.1019 0.5442 0.7482 1
O2 0.1117 0.8803 0.7554 1
O3 0.1197 0.2314 0.7554 1
O4 0.2145 0.7800 0.2528 1
O5 0.2200 0.4345 0.2528 1
O6 0.2314 0.1197 0.2446 1
O7 0.4345 0.2200 0.7472 1
O8 0.4423 0.8981 0.7482 1
O9 0.4558 0.5577 0.7482 1
O10 0.5442 0.1019 0.2518 1
O11 0.5577 0.4558 0.2518 1
O12 0.5655 0.7855 0.2528 1
O13 0.7686 0.8883 0.7554 1
O14 0.7800 0.2145 0.7472 1
O15 0.7855 0.5655 0.7472 1
O16 0.8803 0.1117 0.2446 1
O17 0.8883 0.7686 0.2446 1
O18 0.8981 0.4423 0.2518 1

6.
# ZrZn2RuO | Alexandria | PBE | optimized geometry
# - volume (Å³ per atom) = 22.09
# - space-group type = P4/mmm (123)
# - E_form (uncorrected) (meV per atom) = 392
data_ZrZn2RuO
_cell_length_a 5.3276
_cell_length_b 5.3276
_cell_length_c 3.8913
_cell_angle_alpha 90.00
_cell_angle_beta 90.00
_cell_angle_gamma 90.00
_space_group_name_H-M_alt 'P 1'
_space_group_IT_number 1
_space_group_name_Hall 'P 1'
loop_
_atom_site_label
_atom_site_fract_x
_atom_site_fract_y
_atom_site_fract_z
_atom_site_occupancy
Zr1 0.0000 0.0000 0.0000 1
Zn1 0.0000 0.5000 0.0000 1
Zn2 0.5000 0.0000 0.0000 1
Ru1 0.5000 0.5000 0.5000 1
O1 0.0000 0.0000 0.5000 1

7.
# Zr2Ru2O | Alexandria | PBE | optimized geometry
# - volume (Å³ per atom) = 16.37
# - space-group type = P4/mbm (127)
# - energy above the most stable polymorph in this dataset (kJ/mol of formula units) = 0.0
# - E_form (uncorrected) (meV per atom) = -651
data_Zr2Ru2O
_cell_length_a 6.0210
_cell_length_b 6.0210
_cell_length_c 4.5163
_cell_angle_alpha 90.00
_cell_angle_beta 90.00
_cell_angle_gamma 90.00
_space_group_name_H-M_alt 'P 1'
_space_group_IT_number 1
_space_group_name_Hall 'P 1'
loop_
_atom_site_label
_atom_site_fract_x
_atom_site_fract_y
_atom_site_fract_z
_atom_site_occupancy
Zr1 0.1787 0.3213 0.0000 1
Zr2 0.3213 0.8213 0.0000 1
Zr3 0.6787 0.1787 0.0000 1
Zr4 0.8213 0.6787 0.0000 1
Ru1 0.1472 0.6472 0.5000 1
Ru2 0.3528 0.1472 0.5000 1
Ru3 0.6472 0.8528 0.5000 1
Ru4 0.8528 0.3528 0.5000 1
O1 0.0000 0.0000 0.0000 1
O2 0.5000 0.5000 0.0000 1

8.
# ZrRu2O | Alexandria | PBE | optimized geometry
# - volume (Å³ per atom) = 14.56
# - space-group type = I-42d (122)
# - E_form (uncorrected) (meV per atom) = -311
data_ZrRu2O
_cell_length_a 7.1699
_cell_length_b 7.1699
_cell_length_c 4.5303
_cell_angle_alpha 90.00
_cell_angle_beta 90.00
_cell_angle_gamma 90.00
_space_group_name_H-M_alt 'P 1'
_space_group_IT_number 1
_space_group_name_Hall 'P 1'
loop_
_atom_site_label
_atom_site_fract_x
_atom_site_fract_y
_atom_site_fract_z
_atom_site_occupancy
Zr1 0.0000 0.0000 0.0000 1
Zr2 0.0000 0.5000 0.2500 1
Zr3 0.5000 0.0000 0.7500 1
Zr4 0.5000 0.5000 0.5000 1
Ru1 0.1557 0.7500 0.6250 1
Ru2 0.2500 0.1557 0.3750 1
Ru3 0.2500 0.3443 0.8750 1
Ru4 0.3443 0.7500 0.1250 1
Ru5 0.6557 0.2500 0.1250 1
Ru6 0.7500 0.6557 0.8750 1
Ru7 0.7500 0.8443 0.3750 1
Ru8 0.8443 0.2500 0.6250 1
O1 0.0000 0.0000 0.5000 1
O2 0.0000 0.5000 0.7500 1
O3 0.5000 0.0000 0.2500 1
O4 0.5000 0.5000 0.0000 1

9.
# ZrRu3O | Alexandria | PBE | optimized geometry
# - volume (Å³ per atom) = 22.85
# - space-group type = Pm-3m (221)
# - energy above the most stable polymorph in this dataset (kJ/mol of formula units) = 1165.0
# - E_form (uncorrected) (meV per atom) = 2219
data_ZrRu3O
_cell_length_a 4.8525
_cell_length_b 4.8525
_cell_length_c 4.8525
_cell_angle_alpha 90.00
_cell_angle_beta 90.00
_cell_angle_gamma 90.00
_space_group_name_H-M_alt 'P 1'
_space_group_IT_number 1
_space_group_name_Hall 'P 1'
loop_
_atom_site_label
_atom_site_fract_x
_atom_site_fract_y
_atom_site_fract_z
_atom_site_occupancy
Zr1 0.0000 0.0000 0.0000 1
Ru1 0.0000 0.0000 0.5000 1
Ru2 0.0000 0.5000 0.0000 1
Ru3 0.5000 0.0000 0.0000 1
O1 0.5000 0.5000 0.5000 1

10.
# ZrRu3O | Alexandria | PBE | optimized geometry
# - volume (Å³ per atom) = 14.10
# - space-group type = Pm-3m (221)
# - energy above the most stable polymorph in this dataset (kJ/mol of formula units) = 0.0
# - E_form (uncorrected) (meV per atom) = -196
data_ZrRu3O
_cell_length_a 4.1306
_cell_length_b 4.1306
_cell_length_c 4.1306
_cell_angle_alpha 90.00
_cell_angle_beta 90.00
_cell_angle_gamma 90.00
_space_group_name_H-M_alt 'P 1'
_space_group_IT_number 1
_space_group_name_Hall 'P 1'
loop_
_atom_site_label
_atom_site_fract_x
_atom_site_fract_y
_atom_site_fract_z
_atom_site_occupancy
Zr1 0.0000 0.0000 0.0000 1
Ru1 0.0000 0.5000 0.5000 1
Ru2 0.5000 0.0000 0.5000 1
Ru3 0.5000 0.5000 0.0000 1
O1 0.5000 0.5000 0.5000 1